1.
Tm4GaNi: relaxed, PBE.

Unit cell a=5.9276 b=7.8222 c=7.8418 alpha=114.33 beta=105.31 gamma=103.08
Last column: nearest neighbours and their distance in Å.
Space group P-1 (No. 2)
Symmetry-distinct sites (fractional):
Tm  0.0290  0.2198  0.3674 (multiplicity 2)  2 Ni 2.75-2.80, 1 Ga 3.04
Tm  0.2144  0.2985  0.8581 (multiplicity 2)  2 Ni 2.91-2.93, 2 Ga 3.03-3.04
Tm  0.3383  0.6473  0.3671 (multiplicity 2)  2 Ni 2.75-2.81, 1 Ga 3.04
Tm  0.3562  0.9405  0.1418 (multiplicity 2)  2 Ni 2.91-2.92, 2 Ga 3.03-3.04
Ga  0.3804  0.6303  0.7608 (multiplicity 2)  8 Tm 3.03-3.10
Ni  0.2512  0.0009  0.5018 (multiplicity 2)  8 Tm 2.75-2.93, 2 Ni 2.96-2.97

Formation energy from the elements = -0.331 eV/atom
Final energy = -4.780 eV/atom
E above lowest polymorph = 4 meV per atom

***

2.
Tm2Ga4Ni3: relaxed, PBE.

Unit cell a=5.1806 b=9.0796 c=12.4888 alpha=90.00 beta=90.00 gamma=90.00
Last column: nearest neighbours and their distance in Å.
Space group Fmmm (No. 69)
Symmetry-distinct sites (fractional):
Tm  0.0000  0.0000  0.1264 (multiplicity 8)  8 Ga 3.03-3.07, 6 Ni 3.03-3.05, 1 Tm 3.16
Ga  0.0000  0.1696  0.3388 (multiplicity 16)  3 Ni 2.50-2.53, 1 Ga 2.65
Ni  0.0000  0.0000  0.5000 (multiplicity 4)  4 Ga 2.53, 4 Ni 2.61
Ni  0.2500  0.2500  0.0000 (multiplicity 8)  4 Ga 2.50, 4 Ni 2.59-2.61

Formation energy from the elements = -0.525 eV/atom
Final energy = -4.791 eV/atom

***

3.
Tm6GaNi: relaxed, PBE.

Unit cell a=6.5994 b=11.2162 c=6.5356 alpha=90.00 beta=113.32 gamma=90.00
Last column: nearest neighbours and their distance in Å.
Space group C2/m (No. 12)
Symmetry-distinct sites (fractional):
Tm  0.2300  0.1895  0.2446 (multiplicity 8)  1 Ni 2.73, 1 Ga 2.85
Tm  0.2352  0.0000  0.7675 (multiplicity 4)  1 Ni 2.57
Ga  0.0000  0.5000  0.5000 (multiplicity 2)  6 Tm 2.85-2.92
Ni  0.0000  0.0000  0.0000 (multiplicity 2)  6 Tm 2.57-2.73

Formation energy from the elements = -0.075 eV/atom
Final energy = -4.530 eV/atom

***

4.
YTmGaNi: relaxed, PBE.

Unit cell a=6.9365 b=6.9365 c=6.9365 alpha=90.00 beta=90.00 gamma=90.00
Last column: nearest neighbours and their distance in Å.
Space group F-43m (No. 216)
Symmetry-distinct sites (fractional):
Y  0.0000  0.0000  0.0000 (multiplicity 4)  4 Ga 3.00, 4 Ni 3.00
Tm  0.0000  0.0000  0.5000 (multiplicity 4)  4 Ni 3.00, 4 Ga 3.00
Ga  0.2500  0.2500  0.2500 (multiplicity 4)  4 Tm 3.00, 4 Y 3.00
Ni  0.2500  0.2500  0.7500 (multiplicity 4)  4 Tm 3.00, 4 Y 3.00

Formation energy from the elements = -0.468 eV/atom
Final energy = -5.404 eV/atom
E above lowest polymorph = 47 meV per atom

***

5.
YTmGaNi: relaxed, PBE.

Unit cell a=4.3123 b=3.7094 c=10.7964 alpha=90.00 beta=90.00 gamma=90.00
Last column: nearest neighbours and their distance in Å.
Space group Amm2 (No. 38)
Symmetry-distinct sites (fractional):
Y  0.0000  0.0000  0.0000 (multiplicity 2)  4 Ga 2.96, 3 Ni 2.96-3.09
Tm  0.5000  0.0000  0.2857 (multiplicity 2)  3 Ga 2.94-3.12, 4 Ni 2.95
Ga  0.5000  0.0000  0.5743 (multiplicity 2)  2 Ni 2.63, 2 Tm 2.94
Ni  0.0000  0.0000  0.7137 (multiplicity 2)  2 Ga 2.63

Formation energy from the elements = -0.515 eV/atom
Final energy = -5.451 eV/atom
E above lowest polymorph = 0 meV per atom

***

6.
TmZnGa2Ni5: relaxed, PBE.

Unit cell a=3.7762 b=3.7762 c=9.1624 alpha=90.00 beta=90.00 gamma=90.00
Last column: nearest neighbours and their distance in Å.
Space group P4/mmm (No. 123)
Symmetry-distinct sites (fractional):
Tm  0.0000  0.0000  0.0000 (multiplicity 1)  12 Ni 2.67-2.72
Zn  0.0000  0.0000  0.5000 (multiplicity 1)  8 Ga 2.93, 8 Ni 3.23
Ga  0.5000  0.5000  0.3673 (multiplicity 2)  4 Ni 2.35, 1 Ga 2.43
Ni  0.0000  0.5000  0.2140 (multiplicity 4)  2 Ga 2.35
Ni  0.5000  0.5000  0.0000 (multiplicity 1)  4 Tm 2.67, 8 Ni 2.72

Formation energy from the elements = -0.150 eV/atom
Final energy = -4.673 eV/atom

***

7.
TmZnGa3Ni: relaxed, PBE.

Unit cell a=6.7775 b=11.9941 c=5.4982 alpha=90.00 beta=90.00 gamma=90.00
Last column: nearest neighbours and their distance in Å.
Space group Cmcm (No. 63)
Symmetry-distinct sites (fractional):
Tm  0.0000  0.2022  0.2500 (multiplicity 4)  1 Zn 2.79, 2 Ni 2.86, 4 Ga 3.08
Zn  0.0000  0.4350  0.2500 (multiplicity 4)  5 Ga 2.61-2.71, 1 Tm 2.79
Ga  0.0000  0.3389  0.7500 (multiplicity 4)  1 Ni 2.41
Ga  0.1936  0.0000  0.0000 (multiplicity 8)  2 Ni 2.52, 2 Zn 2.61, 3 Ga 2.62-2.75
Ni  0.0000  0.1377  0.7500 (multiplicity 4)  5 Ga 2.41-2.52

Formation energy from the elements = -0.136 eV/atom
Final energy = -3.571 eV/atom

***

8.
TmZnGaNi3: relaxed, PBE.

Unit cell a=5.5680 b=11.8422 c=5.5797 alpha=90.00 beta=90.00 gamma=90.00
Last column: nearest neighbours and their distance in Å.
Space group Cmcm (No. 63)
Symmetry-distinct sites (fractional):
Tm  0.0000  0.1858  0.2500 (multiplicity 4)  1 Zn 2.73, 6 Ni 2.83-2.86, 2 Ga 2.83
Zn  0.0000  0.4167  0.2500 (multiplicity 4)  4 Ni 2.34
Ga  0.0000  0.1457  0.7500 (multiplicity 4)  5 Ni 2.49-2.52
Ni  0.0000  0.3558  0.7500 (multiplicity 4)  1 Ga 2.49, 1 Zn 2.69, 4 Ni 2.72
Ni  0.2134  0.0000  0.0000 (multiplicity 8)  2 Zn 2.34, 1 Ni 2.38, 2 Ga 2.52

Formation energy from the elements = -0.227 eV/atom
Final energy = -4.580 eV/atom

***

9.
Tm3Zn2GaNi9: relaxed, PBE.

Unit cell a=5.0888 b=5.0888 c=11.3807 alpha=90.00 beta=90.00 gamma=120.00
Last column: nearest neighbours and their distance in Å.
Space group P-3m1 (No. 164)
Symmetry-distinct sites (fractional):
Tm  0.0000  0.0000  0.0000 (multiplicity 1)  6 Ni 2.54
Tm  0.3333  0.6667  0.7685 (multiplicity 2)  9 Ni 2.82-3.02, 3 Zn 3.03
Zn  0.3333  0.6667  0.1675 (multiplicity 2)  6 Ni 2.41-2.42
Ga  0.0000  0.0000  0.5000 (multiplicity 1)  6 Ni 2.38
Ni  0.0000  0.5000  0.0000 (multiplicity 3)  2 Zn 2.41, 4 Ni 2.54, 2 Tm 2.54
Ni  0.1700  0.3401  0.3380 (multiplicity 6)  1 Ga 2.38, 1 Zn 2.42, 4 Ni 2.49-2.60

Formation energy from the elements = -0.140 eV/atom
Final energy = -4.874 eV/atom

***

10.
Tm2ZnGa3Ni4: relaxed, PBE.

Unit cell a=3.8311 b=3.8311 c=10.8708 alpha=90.00 beta=90.00 gamma=90.00
Last column: nearest neighbours and their distance in Å.
Space group P-4m2 (No. 115)
Symmetry-distinct sites (fractional):
Tm  0.0000  0.5000  0.2420 (multiplicity 2)  4 Ni 2.90, 4 Ga 3.03
Zn  0.5000  0.5000  0.0000 (multiplicity 1)  4 Ni 2.50, 4 Ga 2.71
Ga  0.0000  0.0000  0.0000 (multiplicity 1)  4 Ni 2.50, 4 Zn 2.71
Ga  0.0000  0.5000  0.6328 (multiplicity 2)  5 Ni 2.39-2.40
Ni  0.0000  0.0000  0.5000 (multiplicity 1)  4 Ga 2.40
Ni  0.0000  0.5000  0.8527 (multiplicity 2)  3 Ga 2.39-2.50, 2 Zn 2.50
Ni  0.5000  0.5000  0.5000 (multiplicity 1)  4 Ga 2.40

Formation energy from the elements = -0.517 eV/atom
Final energy = -4.759 eV/atom

***

11.
TmZnGa2Ni4: relaxed, PBE.

Unit cell a=4.0784 b=4.0784 c=23.8021 alpha=90.00 beta=90.00 gamma=120.00
Last column: nearest neighbours and their distance in Å.
Space group R-3m (No. 166, hexagonal axes)
Symmetry-distinct sites (fractional):
Tm  0.0000  0.0000  0.0000 (multiplicity 3)  8 Ni 2.85-3.07, 6 Ga 3.19
Zn  0.0000  0.0000  0.5000 (multiplicity 3)  8 Ni 2.35-2.52
Ga  0.0000  0.0000  0.2430 (multiplicity 6)  6 Ni 2.41-2.53
Ni  0.0000  0.0000  0.1288 (multiplicity 6)  3 Zn 2.52, 4 Ga 2.53-2.72, 3 Ni 2.77
Ni  0.0000  0.0000  0.4012 (multiplicity 6)  1 Zn 2.35, 3 Ga 2.41

Formation energy from the elements = -0.404 eV/atom
Final energy = -4.770 eV/atom

***

12.
Tm2ZnGa2Ni5: relaxed, PBE.

Unit cell a=9.5030 b=9.5030 c=3.3614 alpha=90.00 beta=90.00 gamma=90.00
Last column: nearest neighbours and their distance in Å.
Space group P4/mbm (No. 127)
Symmetry-distinct sites (fractional):
Tm  0.1751  0.3249  0.0000 (multiplicity 4)  3 Ga 2.71-2.88, 6 Ni 2.89-3.00
Zn  0.0000  0.0000  0.0000 (multiplicity 2)  8 Ni 2.60
Ga  0.1234  0.6234  0.0000 (multiplicity 4)  6 Ni 2.36-2.46
Ni  0.0000  0.5000  0.5000 (multiplicity 2)  4 Ga 2.36
Ni  0.0545  0.7991  0.5000 (multiplicity 8)  2 Ga 2.46, 2 Zn 2.60

Formation energy from the elements = -0.350 eV/atom
Final energy = -4.868 eV/atom